Record 1
# PuAgPd4

A relaxed PuAgPd4 crystal (PBE, Alexandria).

extended XYZ file:
```
12
Lattice="4.135 0.000 0.000 0.000 10.351 -1.437 0.000 -6.448 5.787" Properties=species:S:1:pos:R:3 pbc="T T T"
Pu 2.066 -2.249 3.981
Pu 2.069 6.151 0.369
Ag 0.000 1.951 2.175
Ag 0.000 0.000 0.000
Pd 2.068 4.010 2.288
Pd 2.068 1.844 4.236
Pd 0.000 -2.068 1.858
Pd 0.000 4.019 0.317
Pd 0.000 5.970 2.492
Pd 0.000 -0.116 4.032
Pd 2.068 2.059 0.114
Pd 2.068 -0.108 2.061
```

As for the polymorph energy (0 for the lowest one): 0.072 eV/atom. For the density of states at the Fermi level, the calculation gives 17.9 states/eV/cell. The formation enthalpy at 0 K is -0.243 eV/atom. As for the total energy: -6.569 eV per atom.


Record 2
# CuHgSe2O6

A relaxed CuHgSe2O6 crystal (PBE, Alexandria).

extended XYZ file:
```
40
Lattice="11.017 0.000 0.000 0.000 7.561 -0.007 0.000 0.647 7.638" Properties=species:S:1:pos:R:3 pbc="T T T"
Cu 10.018 7.654 2.379
Cu 4.510 4.335 5.248
Cu 0.999 0.554 5.252
Cu 6.507 3.874 2.382
Hg 10.442 4.065 1.973
Hg 4.933 7.924 5.653
Hg 0.575 4.143 5.657
Hg 6.083 0.285 1.977
Se 1.131 1.440 0.413
Se 6.639 2.988 7.221
Se 9.886 6.769 7.217
Se 4.378 5.220 0.409
Se 8.613 2.357 4.282
Se 3.105 2.071 3.352
Se 2.403 5.851 3.349
Se 7.912 6.138 4.278
O 0.197 1.739 6.604
O 5.706 2.689 1.029
O 10.819 6.469 1.026
O 5.311 5.520 6.601
O 1.477 3.099 0.080
O 6.985 1.329 7.554
O 9.540 5.110 7.550
O 4.031 6.879 0.076
O 10.887 1.683 1.609
O 5.379 2.745 6.025
O 0.130 6.525 6.021
O 5.638 5.464 1.605
O 9.622 0.968 4.074
O 4.113 3.460 3.560
O 1.395 7.240 3.557
O 6.903 4.749 4.070
O 7.853 2.464 2.721
O 2.345 1.964 4.912
O 3.164 5.744 4.909
O 8.672 6.245 2.718
O 9.762 3.674 4.143
O 4.254 0.754 3.491
O 1.254 4.535 3.487
O 6.763 7.454 4.139
```

Its raw formation energy is -654 meV/atom. As for the total energy: -4.765 eV per atom.


Record 3
# RbHgBF6

A relaxed RbHgBF6 crystal (PBE, Alexandria).

extended XYZ file:
```
9
Lattice="6.927 1.157 0.183 4.538 5.360 -0.160 0.143 -0.270 5.738" Properties=species:S:1:pos:R:3 pbc="T T T"
Rb 11.246 6.392 0.023
Hg 7.747 4.227 2.885
B 4.694 2.493 2.879
F 8.331 3.013 1.407
F 6.997 5.348 4.362
F 5.704 2.414 3.891
F 3.515 2.986 3.470
F 5.148 3.402 1.870
F 4.516 1.229 2.284
```

For the density of states at the Fermi level, the calculation gives 0.0 states/eV/cell. Its raw formation energy is -2434 meV/atom. As for the total energy: -4.565 eV per atom.


Record 4
# Cr6GeC

A relaxed Cr6GeC crystal (PBE, Alexandria).

extended XYZ file:
```
8
Lattice="-2.050 3.346 -1.683 -4.493 0.076 1.593 0.895 2.219 4.168" Properties=species:S:1:pos:R:3 pbc="T T T"
Cr -1.000 2.027 3.714
Cr -5.167 4.152 2.830
Cr -2.236 2.124 -0.253
Cr -0.481 1.489 1.247
Cr -4.647 3.615 0.364
Cr -3.412 3.518 4.331
Ge -2.824 2.821 2.039
C 0.000 0.000 0.000
```

For the density of states at the Fermi level, the calculation gives 5.8 states/eV/cell. The formation enthalpy at 0 K is 0.026 eV/atom. As for the total energy: -8.921 eV per atom.


Record 5
# Cd2InTc

A relaxed Cd2InTc crystal (PBE, Alexandria).

extended XYZ file:
```
4
Lattice="9.921 -0.088 -0.052 9.465 2.973 -0.052 9.465 1.409 2.619" Properties=species:S:1:pos:R:3 pbc="T T T"
Cd 0.174 0.026 0.015
Cd 14.252 2.121 1.243
In 7.213 1.073 0.629
Tc 21.638 3.220 1.887
```

For the density of states at the Fermi level, the calculation gives 2.4 states/eV/cell. The formation enthalpy at 0 K is 0.395 eV/atom. As for the total energy: -3.339 eV per atom.


Record 6
# CrMo2Os

A relaxed CrMo2Os crystal (PBE, Alexandria).

extended XYZ file:
```
4
Lattice="-0.253 2.970 3.790 -1.769 -2.260 3.874 3.533 -1.074 -3.100" Properties=species:S:1:pos:R:3 pbc="T T T"
Cr 1.135 1.125 2.261
Mo 0.000 0.000 0.000
Mo -1.011 0.355 3.832
Os 0.376 -1.490 2.303
```

As for the polymorph energy (0 for the lowest one): 0.107 eV/atom. For the density of states at the Fermi level, the calculation gives 4.5 states/eV/cell. The formation enthalpy at 0 K is 0.224 eV/atom. As for the total energy: -10.405 eV per atom.


Record 7
# NbGa2Fe

A relaxed NbGa2Fe crystal (PBE, Alexandria).

extended XYZ file:
```
4
Lattice="3.901 0.000 0.000 0.000 3.928 0.000 0.000 0.000 3.928" Properties=species:S:1:pos:R:3 pbc="T T T"
Nb 1.950 1.964 1.964
Fe 1.950 0.000 0.000
Ga 0.000 0.000 1.964
Ga 0.000 1.964 0.000
```

For the density of states at the Fermi level, the calculation gives 2.2 states/eV/cell. The formation enthalpy at 0 K is -0.192 eV/atom. As for the total energy: -6.339 eV per atom.


Record 8
# FeNiI2

A relaxed FeNiI2 crystal (PBE, Alexandria).

extended XYZ file:
```
4
Lattice="2.496 0.648 3.966 -0.771 3.819 2.683 -2.097 -0.455 4.216" Properties=species:S:1:pos:R:3 pbc="T T T"
I -0.093 1.003 2.716
I -0.279 3.009 8.149
Ni -0.186 2.006 5.432
Fe 0.000 0.000 0.000
```

As for the polymorph energy (0 for the lowest one): 0.719 eV/atom. For the density of states at the Fermi level, the calculation gives 2.6 states/eV/cell. Its raw formation energy is 1015 meV/atom. As for the total energy: -3.321 eV per atom.